Entry 1:
La5Y5Th2, optimized geometry, DFT PBE-GGA; symmetry = C2/m (12)
1.0
8.251 -2.959 0.000
8.251 2.959 0.000
-4.827 0.000 8.481
La Y Th
5 5 2
Direct
0.000 0.000 0.000 La
0.083 0.083 0.424 La
0.267 0.267 0.276 La
0.733 0.733 0.724 La
0.917 0.917 0.576 La
0.340 0.340 0.698 Y
0.420 0.420 0.110 Y
0.500 0.500 0.500 Y
0.580 0.580 0.890 Y
0.660 0.660 0.302 Y
0.183 0.183 0.866 Th
0.817 0.817 0.134 Th

Entry 2:
ScNiOs, optimized geometry, DFT PBE-GGA; ΔE to the lowest computed polymorph = 636 meV/atom; symmetry = P3m1 (156)
1.0
2.842 0.000 0.000
-1.421 2.462 0.000
0.000 0.000 6.482
Sc Ni Os
1 1 1
Direct
0.000 0.000 0.000 Sc
0.667 0.333 0.329 Ni
0.333 0.667 0.644 Os

Entry 3:
AcEr2Bi, optimized geometry, DFT PBE-GGA; ΔE to the lowest computed polymorph = 0 meV/atom; symmetry = P4/mmm (123)
1.0
4.032 0.000 0.000
0.000 4.032 0.000
0.000 0.000 7.942
Ac Er Bi
1 2 1
Direct
0.000 0.000 0.000 Ac
0.500 0.500 0.291 Er
0.500 0.500 0.709 Er
0.000 0.000 0.500 Bi

Entry 4:
MnNiPt3, optimized geometry, DFT PBE-GGA; ΔE to the lowest computed polymorph = 1446 meV/atom; symmetry = Pm-3m (221)
1.0
4.516 0.000 0.000
0.000 4.516 0.000
0.000 0.000 4.516
Mn Ni Pt
1 1 3
Direct
0.000 0.000 0.000 Mn
0.500 0.500 0.500 Ni
0.000 0.000 0.500 Pt
0.000 0.500 0.000 Pt
0.500 0.000 0.000 Pt

Entry 5:
K14NaTl, optimized geometry, DFT PBE-GGA; symmetry = P4/mmm (123)
1.0
9.100 0.000 0.000
0.000 9.100 0.000
0.000 0.000 12.290
K Na Tl
14 1 1
Direct
0.000 0.000 0.000 K
0.000 0.500 0.000 K
0.000 0.500 0.500 K
0.241 0.241 0.279 K
0.241 0.241 0.721 K
0.241 0.759 0.279 K
0.241 0.759 0.721 K
0.500 0.000 0.000 K
0.500 0.000 0.500 K
0.500 0.500 0.000 K
0.759 0.241 0.279 K
0.759 0.241 0.721 K
0.759 0.759 0.279 K
0.759 0.759 0.721 K
0.500 0.500 0.500 Na
0.000 0.000 0.500 Tl

Entry 6:
TbNdCuNi, optimized geometry, DFT PBE-GGA; ΔE to the lowest computed polymorph = 0 meV/atom; symmetry = Amm2 (38)
1.0
4.444 0.000 0.000
0.000 1.898 5.217
0.000 -1.898 5.217
Tb Nd Cu Ni
1 1 1 1
Direct
0.000 0.000 0.000 Tb
0.500 0.278 0.278 Nd
0.000 0.706 0.706 Cu
0.500 0.566 0.566 Ni

Entry 7:
La4Tb5Sm, optimized geometry, DFT PBE-GGA; ΔE to the lowest computed polymorph = 0 meV/atom; symmetry = P4/nmm (129)
1.0
10.755 0.000 0.000
0.000 10.755 0.000
0.000 0.000 5.911
La Tb Sm
8 10 2
Direct
0.045 0.750 0.128 La
0.250 0.545 0.872 La
0.250 0.955 0.872 La
0.455 0.750 0.128 La
0.545 0.250 0.872 La
0.750 0.045 0.128 La
0.750 0.455 0.128 La
0.955 0.250 0.872 La
0.090 0.090 0.346 Tb
0.090 0.410 0.346 Tb
0.250 0.750 0.500 Tb
0.410 0.090 0.346 Tb
0.410 0.410 0.346 Tb
0.590 0.590 0.654 Tb
0.590 0.910 0.654 Tb
0.750 0.250 0.500 Tb
0.910 0.590 0.654 Tb
0.910 0.910 0.654 Tb
0.250 0.250 0.879 Sm
0.750 0.750 0.121 Sm

Entry 8:
Rb3Pu2Cl7, optimized geometry, DFT PBE-GGA; ΔE to the lowest computed polymorph = 0 meV/atom; symmetry = I4/mmm (139)
1.0
-2.783 2.783 13.879
2.783 -2.783 13.879
2.783 2.783 -13.879
Rb Pu Cl
3 2 7
Direct
0.000 0.000 0.000 Rb
0.182 0.182 0.000 Rb
0.818 0.818 0.000 Rb
0.398 0.398 0.000 Pu
0.602 0.602 0.000 Pu
0.097 0.597 0.500 Cl
0.298 0.298 0.000 Cl
0.403 0.903 0.500 Cl
0.500 0.500 0.000 Cl
0.597 0.097 0.500 Cl
0.702 0.702 0.000 Cl
0.903 0.403 0.500 Cl

Entry 9:
CaDy2TlO6, optimized geometry, DFT PBE-GGA; symmetry = R3 (146)
1.0
2.918 1.684 5.135
-2.918 1.684 5.135
0.000 -3.369 5.135
Ca Dy Tl O
1 2 1 6
Direct
0.000 0.000 0.000 Ca
0.216 0.216 0.216 Dy
0.717 0.717 0.717 Dy
0.504 0.504 0.504 Tl
0.112 0.410 0.816 O
0.333 0.911 0.595 O
0.410 0.816 0.112 O
0.595 0.333 0.911 O
0.816 0.112 0.410 O
0.911 0.595 0.333 O

Entry 10:
Tl2Cd, optimized geometry, DFT PBE-GGA; ΔE to the lowest computed polymorph = 10 meV/atom; symmetry = Cm (8)
1.0
6.132 -1.779 0.000
6.132 1.779 0.000
-2.375 0.000 7.879
Tl Cd
4 2
Direct
0.000 0.000 0.000 Tl
0.012 0.012 0.580 Tl
0.344 0.344 0.240 Tl
0.712 0.712 0.887 Tl
0.302 0.302 0.624 Cd
0.639 0.639 0.337 Cd

Entry 11:
ZrTc, optimized geometry, DFT PBE-GGA; symmetry = Cmme (67)
1.0
1.681 -2.425 0.000
1.681 2.425 0.000
0.000 0.000 9.024
Zr Tc
2 2
Direct
0.250 0.750 0.847 Zr
0.750 0.250 0.153 Zr
0.250 0.750 0.391 Tc
0.750 0.250 0.609 Tc

Entry 12:
YMo, optimized geometry, DFT PBE-GGA; ΔE to the lowest computed polymorph = 205 meV/atom; symmetry = I4/mmm (139)
1.0
-4.238 4.238 2.651
4.238 -4.238 2.651
4.238 4.238 -2.651
Y Mo
4 4
Direct
0.000 0.287 0.287 Y
0.000 0.713 0.713 Y
0.287 0.000 0.287 Y
0.713 0.000 0.713 Y
0.353 0.353 0.705 Mo
0.353 0.647 0.000 Mo
0.647 0.353 0.000 Mo
0.647 0.647 0.295 Mo

| no. | DOS at the Fermi energy (states/eV per cell) | VASP energy (eV per atom) |
| --- | --- | --- |
| 1 | 20.43 | -5.8646 |
| 2 | 3.74 | -7.5947 |
| 3 | 5.28 | -4.5849 |
| 4 | 6.81 | -5.4201 |
| 5 | 10.73 | -1.1796 |
| 6 | 3.45 | -5.1074 |
| 7 | 24.69 | -4.5787 |
| 8 | 30.28 | -5.5273 |
| 9 | 8.28 | -6.7607 |
| 10 | 1.98 | -1.8412 |
| 11 | 3.38 | -9.3768 |
| 12 | 10.21 | -8.3071 |